No. 1
Entry from Alexandria via LeMat-Bulk: a relaxed structure of Sm2InI (GGA-PBE).

Cell lengths 3.706, 3.706, 8.524 Å; angles 90.00, 90.00, 90.00 degrees
Sites, in units of the cell vectors:
1 Sm 0.000 0.000 0.236
2 Sm 0.000 0.000 0.764
3 In 0.500 0.500 0.000
4 I 0.500 0.500 0.500

## Properties
Space group: P4/mmm (123)

***

No. 2
Entry from Alexandria via LeMat-Bulk: a relaxed structure of SmInI (GGA-PBE).

Cell lengths 4.577, 4.577, 12.344 Å; angles 100.85, 100.85, 60.00 degrees
Sites, in units of the cell vectors:
1 Sm 0.061 0.061 0.181
2 Sm 0.939 0.939 0.819
3 In 0.347 0.347 0.040
4 In 0.653 0.653 0.960
5 I 0.219 0.219 0.661
6 I 0.781 0.781 0.339

## Properties
Space group: C2/m (12)

***

No. 3
Entry from Alexandria via LeMat-Bulk: a relaxed structure of Sm6InI8 (GGA-PBE).

Cell lengths 12.424, 12.424, 12.424 Å; angles 35.78, 35.78, 35.78 degrees
Sites, in units of the cell vectors:
1 Sm 0.134 0.449 0.763
2 Sm 0.237 0.866 0.551
3 Sm 0.449 0.763 0.134
4 Sm 0.551 0.237 0.866
5 Sm 0.763 0.134 0.449
6 Sm 0.866 0.551 0.237
7 In 0.500 0.500 0.500
8 I 0.053 0.733 0.393
9 I 0.167 0.167 0.167
10 I 0.267 0.607 0.947
11 I 0.393 0.053 0.733
12 I 0.607 0.947 0.267
13 I 0.733 0.393 0.053
14 I 0.833 0.833 0.833
15 I 0.947 0.267 0.607

## Properties
Space group: R-3 (148)

***

Going through the records in order, we get ΔE_f (raw) values of -0.601 -0.881 -1.039 eV/atom.
Going through the records in order, we get calculated total energy values of -4.0328 -3.8833 -3.9355 eV/atom.